# CaYb3 (PBE, optimized geometry)
# DOS(E_F): 0.568 states/eV per atom
# ΔE_f: 11 meV/atom
# Size of the total moment: 0.00 μB/atom
data_CaYb3
_chemical_formula_sum 'Ca2 Yb6'
_cell_length_a 7.7085
_cell_length_b 7.7085
_cell_length_c 6.4482
_cell_angle_alpha 90.00
_cell_angle_beta 90.00
_cell_angle_gamma 120.00
_space_group_name_H-M_alt 'P 63/m m c'
_space_group_IT_number 194
_space_group_name_Hall '-P 6c 2c'
loop_
_atom_site_label
_atom_site_type_symbol
_atom_site_fract_x
_atom_site_fract_y
_atom_site_fract_z
_atom_site_occupancy
Ca1 Ca 0.3333 0.6667 0.2500 1
Yb1 Yb 0.1669 0.3338 0.7500 1